A geometry-optimized NaCdHg2 structure. Source: Alexandria via LeMat-Bulk, functional PBE.

Values from the calculation:
spin magnetization	0.00	μB/f.u.
total energy	-0.8157	eV/atom

Cell: 3.6379 3.6379 9.5170 Å, 78.98 78.98 60.00°
Atoms (fractional coordinates):
Na  0.5000  0.5000  0.5000
Hg  0.2513  0.2513  0.2461
Hg  0.7487  0.7487  0.7539
Cd  0.0000  0.0000  0.0000